Here is a geometry-optimized DyY4Sc3 structure from Alexandria. Energies are from PBE.

Output
- ΔE_f: 0.064 eV/atom
- Total energy: -48.9 eV per cell
- Excess energy over the best structure of this formula in the dataset: 0 meV/atom
- Total moment: 0.00 μB per atom

a b c (Å): 6.884 6.891 7.710
angles (deg): 77.44 131.96 119.62
Atoms (fractional coordinates):
Y 0.000 0.500 0.000
Y 0.500 0.000 0.000
Y 0.253 0.252 0.506
Y 0.747 0.748 0.494
Sc 0.500 0.500 0.000
Sc 0.247 0.747 0.500
Sc 0.753 0.253 0.500
Dy 0.000 0.000 0.000